Version 1
## ScPdAu (PBE)

Data for a relaxed ScPdAu crystal.

Cell and atoms, written as POSCAR:
```
ScPdAu
1.0
0.000 3.153 3.153
3.153 0.000 3.153
3.153 3.153 0.000
Sc Pd Au
1 1 1
Direct
0.000 0.000 0.000
0.750 0.750 0.750
0.500 0.500 0.500
```

Version 2
## ScPdAu (PBE)

Data for a relaxed ScPdAu crystal.

Cell and atoms, written as POSCAR:
```
ScPdAu
1.0
0.000 3.152 3.152
3.152 0.000 3.152
3.152 3.152 0.000
Sc Pd Au
1 1 1
Direct
0.000 0.000 0.000
0.250 0.250 0.250
0.750 0.750 0.750
```

Stability ranking, top and bottom: version 1 is the most stable and version 2 is the least stable.